(1)
Compound: CaCd2Re
Source: the Alexandria database
Functional: GGA-PBE
Structure: optimized geometry

Unit cell a=5.4701 b=5.4701 c=5.4701 alpha=134.19 beta=134.19 gamma=66.79
Closest atoms and distances in Å follow each position.
Fractional coordinates of all 4 atoms:
Cd (0.2500, 0.7500, 0.5000)  4 Ca 3.01, 4 Re 3.12, 4 Cd 3.12
Cd (0.0000, 0.0000, 0.0000)  4 Re 3.01, 4 Cd 3.12, 4 Ca 3.12
Ca (0.7500, 0.2500, 0.5000)  8 Cd 3.01-3.12, 4 Re 3.12
Re (0.5000, 0.5000, 0.0000)  8 Cd 3.01-3.12, 4 Ca 3.12

spin magnetization	0.1	μB per cell
D(E_F)	2.656	states/eV per cell
energy relative to the elements	574.5	meV/atom
space group	I-4m2, No. 119
total DFT energy (no corrections)	-3.4955	eV/atom
polymorph energy (0 for the lowest one)	165	meV per atom


(2)
Compound: EuInCuPt
Source: the Alexandria database
Functional: GGA-PBE
Structure: optimized geometry

Unit cell a=4.8789 b=4.8789 c=4.8789 alpha=60.00 beta=60.00 gamma=60.00
Closest atoms and distances in Å follow each position.
Fractional coordinates of all 4 atoms:
Cu (0.7500, 0.7500, 0.7500)  4 Eu 2.99, 4 In 2.99
In (0.0000, 0.0000, 0.0000)  4 Cu 2.99, 4 Pt 2.99
Eu (0.5000, 0.5000, 0.5000)  4 Cu 2.99, 4 Pt 2.99
Pt (0.2500, 0.2500, 0.2500)  4 In 2.99, 4 Eu 2.99

spin magnetization	6.9	μB per cell
D(E_F)	9.522	states/eV per cell
energy relative to the elements	-405.3	meV/atom
space group	F-43m, No. 216
total DFT energy (no corrections)	-6.1927	eV/atom


Number 1: ρ 9.0 g cm⁻³. Number 2: ρ 10.6 g cm⁻³.